Record 1
Material: CaZr2Ni
Method: DFT, GGA-PBEsol
State: relaxed

Cell: 3.4504 3.4504 27.5537 Å, 90.00 90.00 120.00°
Space group R-3m (No. 166, hexagonal axes)
Asymmetric unit:
Ca 0.0000 0.0000 0.0000 (multiplicity 3)
Zr 0.0000 0.0000 0.2234 (multiplicity 6)
Ni 0.0000 0.0000 0.5000 (multiplicity 3)

Computed properties:
raw total energy	-6.46	eV per atom
DOS(E_F)	11.255	states/eV/cell
calculated density	4.9	g cm⁻³
energy of formation from the pure elements	0.1544	eV/atom


Record 2
Material: MgFeHg
Method: DFT, GGA-PBEsol
State: relaxed

Cell: 6.173 6.173 6.173 Å, 90.00 90.00 90.00°
Space group F-43m (No. 216)
Asymmetric unit:
Mg 0.000 0.000 0.000 (multiplicity 4)
Fe 0.250 0.250 0.250 (multiplicity 4)
Hg 0.000 0.000 0.500 (multiplicity 4)

Computed properties:
raw total energy	-3.28	eV per atom
DOS(E_F)	13.422	states/eV/cell
calculated density	7.9	g cm⁻³
energy of formation from the pure elements	0.4727	eV/atom


Please write out number 2 again, unchanged.
Material: MgFeHg
Method: DFT, GGA-PBEsol
State: relaxed

Cell: 6.173 6.173 6.173 Å, 90.00 90.00 90.00°
Space group F-43m (No. 216)
Asymmetric unit:
Mg 0.000 0.000 0.000 (multiplicity 4)
Fe 0.250 0.250 0.250 (multiplicity 4)
Hg 0.000 0.000 0.500 (multiplicity 4)

Computed properties:
raw total energy	-3.28	eV per atom
DOS(E_F)	13.422	states/eV/cell
calculated density	7.9	g cm⁻³
energy of formation from the pure elements	0.4727	eV/atom